Material: ZrGaI3
Method: DFT, SCAN
State: single point on PBEsol structure

- Crystal system: cubic
- Formation energy from raw total energies: -0.23 eV/atom
- SG: Pm-3m (221)

a b c (Å): 5.6500 5.6500 5.6500
angles (deg): 90.00 90.00 90.00
Fractional positions:
I: 0.5000 0.0000 0.0000
Zr: 0.0000 0.0000 0.0000
Ga: 0.5000 0.5000 0.5000
I: 0.0000 0.5000 0.0000
I: 0.0000 0.0000 0.5000

Material: LiScC3
Method: DFT, SCAN
State: single point on PBEsol structure

- VASP energy: -35.99 eV/cell
- Crystal system: cubic
- SG: Pm-3m (221)

a b c (Å): 4.1989 4.1989 4.1989
angles (deg): 90.00 90.00 90.00
Fractional positions:
C: 0.5000 0.0000 0.0000
Li: 0.5000 0.5000 0.5000
C: 0.0000 0.0000 0.5000
Sc: 0.0000 0.0000 0.0000
C: 0.0000 0.5000 0.0000

Material: NdHo3
Method: DFT, SCAN
State: single point on PBEsol structure

- VASP energy: -380.96 eV/cell
- Crystal system: hexagonal
- SG: P6_3/mmc (194)

a b c (Å): 5.5888 7.0975 7.0975
angles (deg): 120.00 90.00 90.00
Fractional positions:
Ho: 0.7500 0.8342 0.6684
Ho: 0.2500 0.1658 0.8342
Ho: 0.2500 0.6684 0.8342
Ho: 0.2500 0.1658 0.3316
Nd: 0.7500 0.3333 0.6667
Ho: 0.7500 0.3316 0.1658
Ho: 0.7500 0.8342 0.1658
Nd: 0.2500 0.6667 0.3333

Material: NiRh2Cl
Method: DFT, SCAN
State: single point on PBEsol structure

- Crystal system: cubic
- Formation energy from raw total energies: 0.63 eV/atom
- SG: Fm-3m (225)

a b c (Å): 4.2189 4.2189 4.2189
angles (deg): 60.00 60.00 60.00
Each line ends with the local moment (μB).
Fractional positions:
Rh: 0.2500 0.2500 0.2500  1.24
Ni: 0.5000 0.5000 0.5000  1.16
Rh: 0.7500 0.7500 0.7500  1.24
Cl: 0.0000 0.0000 0.0000  0.15

Material: YScTl2
Method: DFT, SCAN
State: single point on PBEsol structure

- VASP energy: -188.55 eV/cell
- Crystal system: tetragonal
- SG: I-4m2 (119)

a b c (Å): 4.3405 4.3405 6.0678
angles (deg): 110.96 110.96 90.00
Fractional positions:
Tl: 0.7500 0.2500 0.5000
Sc: 0.2500 0.7500 0.5000
Y: 0.5000 0.5000 0.0000
Tl: 0.0000 0.0000 0.0000

Material: HfMgN2
Method: DFT, SCAN
State: single point on PBEsol structure

- Crystal system: orthorhombic
- Formation energy from raw total energies: -1.69 eV/atom
- SG: Pnma (62)

a b c (Å): 4.3931 6.3496 7.3774
angles (deg): 90.00 90.00 90.00
Fractional positions:
Mg: 0.7500 0.5782 0.8811
Mg: 0.7500 0.0782 0.6189
N: 0.7500 0.4212 0.6147
N: 0.2500 0.0788 0.1147
N: 0.2500 0.5850 0.8675
N: 0.2500 0.5788 0.3853
N: 0.2500 0.0850 0.6325
N: 0.7500 0.9212 0.8853
N: 0.7500 0.9150 0.3675
N: 0.7500 0.4150 0.1325
Hf: 0.2500 0.4127 0.6302
Mg: 0.2500 0.9218 0.3811
Hf: 0.7500 0.0873 0.1302
Hf: 0.7500 0.5873 0.3698
Mg: 0.2500 0.4218 0.1189
Hf: 0.2500 0.9127 0.8698

Material: TiMo2Se2
Method: DFT, SCAN
State: single point on PBEsol structure

- Crystal system: tetragonal
- Formation energy from raw total energies: 0.27 eV/atom
- SG: I4/mmm (139)

a b c (Å): 3.5686 3.5686 7.2857
angles (deg): 104.18 104.18 90.00
Fractional positions:
Se: 0.6030 0.6030 0.2060
Mo: 0.2500 0.7500 0.5000
Ti: 0.0000 0.0000 0.0000
Mo: 0.7500 0.2500 0.5000
Se: 0.3970 0.3970 0.7940

Material: LiIn2Ni
Method: DFT, SCAN
State: single point on PBEsol structure

- VASP energy: -86.40 eV/cell
- Crystal system: cubic
- SG: Fm-3m (225)

a b c (Å): 4.4639 4.4639 4.4639
angles (deg): 60.00 60.00 60.00
Fractional positions:
In: 0.7500 0.7500 0.7500
In: 0.2500 0.2500 0.2500
Ni: 0.5000 0.5000 0.5000
Li: 0.0000 0.0000 0.0000

Material: MnAlAs
Method: DFT, SCAN
State: single point on PBEsol structure

- VASP energy: -45.70 eV/cell
- Crystal system: cubic
- SG: F-43m (216)

a b c (Å): 4.2206 4.2206 4.2206
angles (deg): 60.00 60.00 60.00
Each line ends with the local moment (μB).
Fractional positions:
Al: 0.2500 0.2500 0.2500  -0.08
As: 0.0000 0.0000 0.0000  -0.02
Mn: 0.5000 0.5000 0.5000  3.77

Material: Zn2TcOs
Method: DFT, SCAN
State: single point on PBEsol structure

- VASP energy: -134.18 eV/cell
- Crystal system: tetragonal
- SG: P4mm (99)

a b c (Å): 2.8333 2.8333 6.8345
angles (deg): 90.00 90.00 90.00
Fractional positions:
Zn: 0.5000 0.5000 0.2481
Zn: 0.0000 0.0000 0.0030
Os: 0.0000 0.0000 0.5065
Tc: 0.5000 0.5000 0.7424

Material: Nb2CuCS2
Method: DFT, SCAN
State: single point on PBEsol structure

- Crystal system: trigonal
- Formation energy from raw total energies: -0.77 eV/atom
- SG: P3m1 (156)

a b c (Å): 3.3289 3.3289 8.9909
angles (deg): 90.00 90.00 120.00
Fractional positions:
Cu: 0.0000 0.0000 0.5511
C: 0.3333 0.6667 0.0026
Nb: 0.0000 0.0000 0.8796
S: 0.6667 0.3333 0.6867
Nb: 0.6667 0.3333 0.1298
S: 0.0000 0.0000 0.3102

Material: Fe2BPb
Method: DFT, SCAN
State: single point on PBEsol structure

- VASP energy: -114.27 eV/cell
- Crystal system: cubic
- SG: Fm-3m (225)

a b c (Å): 4.0837 4.0837 4.0837
angles (deg): 60.00 60.00 60.00
Fractional positions:
Fe: 0.2500 0.2500 0.2500
B: 0.0000 0.0000 0.0000
Fe: 0.7500 0.7500 0.7500
Pb: 0.5000 0.5000 0.5000